Model w:
# MnSbTe2Cl

Crystalline MnSbTe2Cl at its relaxed geometry (GGA-PBE, Alexandria via LeMat-Bulk).

Cell: 5.5397 5.5397 5.1061 Å, 90.00 90.00 90.00°
Closest atoms and distances in Å follow each position.
Fractional coordinates of all 5 atoms:
Sb1 0.0000 0.0000 0.5000  2 Cl 2.55
Te1 0.0000 0.5000 0.0000  2 Cl 2.77
Te2 0.5000 0.0000 0.0000  2 Cl 2.77
Mn1 0.5000 0.5000 0.5000  8 Te 3.77, 4 Sb 3.92
Cl1 0.0000 0.0000 0.0000  2 Sb 2.55, 4 Te 2.77

SG: P4/mmm



Model x:
# MnSbTe2Cl

Crystalline MnSbTe2Cl at its relaxed geometry (GGA-PBE, Alexandria via LeMat-Bulk).

Cell: 5.1015 5.1015 5.2212 Å, 90.00 90.00 90.00°
Closest atoms and distances in Å follow each position.
Fractional coordinates of all 5 atoms:
Sb1 0.0000 0.0000 0.5000  2 Mn 2.61
Te1 0.0000 0.5000 0.0000  2 Mn 2.55
Te2 0.5000 0.0000 0.0000  2 Mn 2.55
Mn1 0.0000 0.0000 0.0000  4 Te 2.55, 2 Sb 2.61
Cl1 0.5000 0.5000 0.5000  4 Sb 3.61, 8 Te 3.65

SG: P4/mmm



Verdict on stability: model x comes out on top.



Model w:
# MnSb2TeCl

Crystalline MnSb2TeCl at its relaxed geometry (GGA-PBE, Alexandria via LeMat-Bulk).

Cell: 5.0841 5.0841 5.0892 Å, 90.00 90.00 90.00°
Closest atoms and distances in Å follow each position.
Fractional coordinates of all 5 atoms:
Sb1 0.0000 0.5000 0.0000  2 Mn 2.54
Sb2 0.5000 0.0000 0.0000  2 Mn 2.54
Te1 0.0000 0.0000 0.5000  2 Mn 2.54
Mn1 0.0000 0.0000 0.0000  4 Sb 2.54, 2 Te 2.54
Cl1 0.5000 0.5000 0.5000  4 Te 3.60, 8 Sb 3.60

SG: P4/mmm



Model x:
# MnSb2TeCl

Crystalline MnSb2TeCl at its relaxed geometry (GGA-PBE, Alexandria via LeMat-Bulk).

Cell: 5.1648 5.1648 5.4653 Å, 90.00 90.00 90.00°
Closest atoms and distances in Å follow each position.
Fractional coordinates of all 5 atoms:
Sb1 0.0000 0.5000 0.0000  2 Cl 2.58
Sb2 0.5000 0.0000 0.0000  2 Cl 2.58
Te1 0.0000 0.0000 0.5000  2 Cl 2.73
Mn1 0.5000 0.5000 0.5000  4 Te 3.65, 8 Sb 3.76
Cl1 0.0000 0.0000 0.0000  4 Sb 2.58, 2 Te 2.73

SG: P4/mmm



Verdict on stability: model w comes out on top.



Model w:
# ScMn2Cl

Crystalline ScMn2Cl at its relaxed geometry (GGA-PBE, Alexandria via LeMat-Bulk).

Cell: 5.3089 5.3089 3.1699 Å, 90.00 90.00 121.80°
Closest atoms and distances in Å follow each position.
Fractional coordinates of all 4 atoms:
Cl1 0.0000 0.5000 0.5000  2 Sc 2.58
Mn1 0.0000 0.0000 0.0000  2 Mn 2.58
Mn2 0.5000 0.5000 0.0000  2 Mn 2.58
Sc1 0.5000 0.0000 0.5000  2 Cl 2.58

SG: Cmmm



Model x:
# ScMn2Cl

Crystalline ScMn2Cl at its relaxed geometry (GGA-PBE, Alexandria via LeMat-Bulk).

Cell: 4.4058 5.9053 3.0529 Å, 75.29 89.29 111.71°
Closest atoms and distances in Å follow each position.
Fractional coordinates of all 4 atoms:
Cl1 0.5000 0.5000 0.0000  4 Sc 2.66-2.70, 4 Mn 2.96
Mn1 0.0000 0.0000 0.0000  4 Mn 2.66-2.70, 2 Cl 2.96, 2 Sc 2.96
Mn2 0.5000 0.0000 0.5000  4 Mn 2.66-2.70, 2 Sc 2.96, 2 Cl 2.96
Sc1 0.0000 0.5000 0.5000  4 Cl 2.66-2.70, 4 Mn 2.96

SG: C2/m



Model y:
# ScMn2Cl

Crystalline ScMn2Cl at its relaxed geometry (GGA-PBE, Alexandria via LeMat-Bulk).

Cell: 5.4791 5.4791 5.4791 Å, 146.99 122.99 67.48°
Closest atoms and distances in Å follow each position.
Fractional coordinates of all 4 atoms:
Cl1 0.2499 0.7499 0.5000  2 Sc 2.61, 2 Mn 2.67
Mn1 0.0120 0.0120 0.0000  2 Cl 2.67, 2 Mn 2.79
Mn2 0.7581 0.2581 0.5000  4 Mn 2.79-3.11, 2 Sc 2.97, 4 Cl 3.04
Sc1 0.4800 0.4800 0.0000  2 Cl 2.61

SG: Imm2



Verdict on stability: model x comes out on top.



Model w:
# ScMn2Cl

Crystalline ScMn2Cl at its relaxed geometry (GGA-PBE, Alexandria via LeMat-Bulk).

Cell: 5.1286 5.1286 5.1286 Å, 132.77 132.77 69.02°
Closest atoms and distances in Å follow each position.
Fractional coordinates of all 4 atoms:
Cl1 0.7500 0.2500 0.5000  8 Mn 2.91-2.95, 4 Sc 2.95
Mn1 0.0000 0.0000 0.0000  4 Sc 2.91, 4 Mn 2.95, 4 Cl 2.95
Mn2 0.2500 0.7500 0.5000  4 Cl 2.91, 4 Mn 2.95, 4 Sc 2.95
Sc1 0.5000 0.5000 0.0000  8 Mn 2.91-2.95, 4 Cl 2.95

SG: I-4m2



Model x:
# ScMn2Cl

Crystalline ScMn2Cl at its relaxed geometry (GGA-PBE, Alexandria via LeMat-Bulk).

Cell: 4.6528 4.6528 4.6528 Å, 60.00 60.00 60.00°
Closest atoms and distances in Å follow each position.
Fractional coordinates of all 4 atoms:
Cl1 0.5000 0.5000 0.5000  4 Mn 2.85, 4 Sc 2.85
Mn1 0.0000 0.0000 0.0000  4 Sc 2.85, 4 Mn 2.85
Mn2 0.2500 0.2500 0.2500  4 Mn 2.85, 4 Cl 2.85
Sc1 0.7500 0.7500 0.7500  4 Mn 2.85, 4 Cl 2.85

SG: F-43m



Verdict on stability: model w comes out on top.



Model w:
# ScMn2Cl

Crystalline ScMn2Cl at its relaxed geometry (GGA-PBE, Alexandria via LeMat-Bulk).

Cell: 8.6350 8.6350 8.6350 Å, 21.25 21.25 21.25°
Closest atoms and distances in Å follow each position.
Fractional coordinates of all 4 atoms:
Cl1 0.7500 0.7500 0.7500  6 Mn 2.70
Mn1 0.0053 0.0053 0.0053  3 Cl 2.70, 3 Sc 2.90
Mn2 0.4947 0.4947 0.4947  3 Cl 2.70, 3 Sc 2.90
Sc1 0.2500 0.2500 0.2500  6 Mn 2.90, 6 Sc 3.18

SG: R-3m



Model x:
# ScMn2Cl

Crystalline ScMn2Cl at its relaxed geometry (GGA-PBE, Alexandria via LeMat-Bulk).

Cell: 3.0499 4.4792 5.1392 Å, 90.00 90.00 90.00°
Closest atoms and distances in Å follow each position.
Fractional coordinates of all 4 atoms:
Cl1 0.0000 0.5000 0.5000  4 Sc 2.71, 4 Mn 2.99
Mn1 0.0000 0.0000 0.0000  4 Mn 2.71, 4 Sc 2.99
Mn2 0.5000 0.5000 0.0000  4 Mn 2.71, 4 Cl 2.99
Sc1 0.5000 0.0000 0.5000  4 Cl 2.71, 4 Mn 2.99

SG: Pmmm



Model y:
# ScMn2Cl

Crystalline ScMn2Cl at its relaxed geometry (GGA-PBE, Alexandria via LeMat-Bulk).

Cell: 7.5539 7.5539 5.9383 Å, 50.50 50.50 90.00°
Closest atoms and distances in Å follow each position.
Fractional coordinates of all 8 atoms:
Sc1 0.0000 0.0000 0.0000  2 Cl 2.59
Sc2 0.7500 0.2500 0.5000  2 Cl 2.59
Mn1 0.5731 0.1250 0.2500  2 Cl 2.50, 2 Mn 2.71
Mn2 0.1769 0.6250 0.2500  2 Cl 2.50, 2 Mn 2.71
Mn3 0.3750 0.4269 0.7500  2 Cl 2.50, 2 Mn 2.71
Mn4 0.8750 0.8231 0.7500  2 Cl 2.50, 2 Mn 2.71
Cl1 0.5000 0.5000 0.0000  4 Mn 2.50, 2 Sc 2.59
Cl2 0.2500 0.7500 0.5000  4 Mn 2.50, 2 Sc 2.59

SG: I-42d



Model z:
# ScMn2Cl

Crystalline ScMn2Cl at its relaxed geometry (GGA-PBE, Alexandria via LeMat-Bulk).

Cell: 5.1229 3.6648 3.6648 Å, 90.00 90.00 90.00°
Closest atoms and distances in Å follow each position.
Fractional coordinates of all 4 atoms:
Cl1 0.5000 0.0000 0.5000  4 Sc 2.59
Mn1 0.0000 0.0000 0.0000  4 Mn 2.59
Mn2 0.0000 0.5000 0.5000  4 Mn 2.59
Sc1 0.5000 0.5000 0.0000  4 Cl 2.59

SG: P4/mmm



Verdict on stability: model w comes out on top.



Model w:
# ScMn2Cl

Crystalline ScMn2Cl at its relaxed geometry (GGA-PBE, Alexandria via LeMat-Bulk).

Cell: 4.5855 4.5855 4.5855 Å, 60.00 60.00 60.00°
Closest atoms and distances in Å follow each position.
Fractional coordinates of all 4 atoms:
Sc1 0.5000 0.5000 0.5000  8 Mn 2.81
Mn1 0.2500 0.2500 0.2500  4 Sc 2.81, 4 Cl 2.81
Mn2 0.7500 0.7500 0.7500  4 Sc 2.81, 4 Cl 2.81
Cl1 0.0000 0.0000 0.0000  8 Mn 2.81

SG: Fm-3m



Model x:
# ScMn2Cl

Crystalline ScMn2Cl at its relaxed geometry (GGA-PBE, Alexandria via LeMat-Bulk).

Cell: 3.0885 3.0885 7.8992 Å, 90.00 90.00 89.71°
Closest atoms and distances in Å follow each position.
Fractional coordinates of all 4 atoms:
Cl1 0.5000 0.5000 0.7500  8 Mn 2.91-2.92, 4 Cl 3.09
Mn1 0.0000 0.0000 0.9937  4 Cl 2.91-2.92, 4 Sc 2.97-2.98, 4 Mn 3.09
Mn2 0.0000 0.0000 0.5063  4 Cl 2.91-2.92, 4 Sc 2.97-2.98, 4 Mn 3.09
Sc1 0.5000 0.5000 0.2500  8 Mn 2.97-2.98, 4 Sc 3.09

SG: Cmmm



Model y:
# ScMn2Cl

Crystalline ScMn2Cl at its relaxed geometry (GGA-PBE, Alexandria via LeMat-Bulk).

Cell: 4.9883 4.9883 5.4740 Å, 63.36 63.36 36.06°
Closest atoms and distances in Å follow each position.
Fractional coordinates of all 4 atoms:
Cl1 0.2909 0.2909 0.3509  4 Mn 2.60-2.71, 3 Sc 2.61-2.67
Mn1 0.9486 0.9486 0.9255  3 Mn 2.59-2.77, 2 Cl 2.60
Mn2 0.7159 0.7159 0.8030  3 Mn 2.59-2.77, 2 Cl 2.71
Sc1 0.5445 0.5445 0.4206  3 Cl 2.61-2.67, 2 Mn 2.91

SG: Cm



Verdict on stability: model y comes out on top.



Model w:
# ScMn2Cl

Crystalline ScMn2Cl at its relaxed geometry (GGA-PBE, Alexandria via LeMat-Bulk).

Cell: 3.0874 3.0907 8.4053 Å, 79.46 90.00 90.00°
Closest atoms and distances in Å follow each position.
Fractional coordinates of all 4 atoms:
Cl1 0.5000 0.9766 0.6736  4 Sc 2.71
Mn1 0.0000 0.7598 0.1040  4 Mn 2.47
Mn2 0.5000 0.1906 0.2429  4 Mn 2.47
Sc1 0.0000 0.5730 0.4795  4 Cl 2.71, 4 Mn 2.93

SG: Pm



Model x:
# ScMn2Cl

Crystalline ScMn2Cl at its relaxed geometry (GGA-PBE, Alexandria via LeMat-Bulk).

Cell: 5.6208 5.6208 5.6208 Å, 141.02 141.02 56.31°
Closest atoms and distances in Å follow each position.
Fractional coordinates of all 4 atoms:
Cl1 0.7500 0.2500 0.5000  4 Sc 2.65
Mn1 0.0000 0.0000 0.0000  4 Mn 2.65
Mn2 0.5000 0.5000 0.0000  4 Mn 2.65
Sc1 0.2500 0.7500 0.5000  4 Cl 2.65

SG: I4/mmm



Verdict on stability: model w comes out on top.



Model w:
# Sc3MnCl

Crystalline Sc3MnCl at its relaxed geometry (GGA-PBE, Alexandria via LeMat-Bulk).

Cell: 4.9064 4.9064 4.9064 Å, 90.00 90.00 90.00°
Closest atoms and distances in Å follow each position.
Fractional coordinates of all 5 atoms:
Sc1 0.0000 0.5000 0.0000  2 Mn 2.45
Sc2 0.0000 0.0000 0.5000  2 Mn 2.45
Sc3 0.5000 0.0000 0.0000  2 Mn 2.45
Mn1 0.0000 0.0000 0.0000  6 Sc 2.45
Cl1 0.5000 0.5000 0.5000  12 Sc 3.47

SG: Pm-3m



Model x:
# Sc3MnCl

Crystalline Sc3MnCl at its relaxed geometry (GGA-PBE, Alexandria via LeMat-Bulk).

Cell: 4.6871 4.6871 4.6871 Å, 90.00 90.00 90.00°
Closest atoms and distances in Å follow each position.
Fractional coordinates of all 5 atoms:
Sc1 0.0000 0.5000 0.0000  2 Cl 2.34
Sc2 0.0000 0.0000 0.5000  2 Cl 2.34
Sc3 0.5000 0.0000 0.0000  2 Cl 2.34
Mn1 0.5000 0.5000 0.5000  12 Sc 3.31
Cl1 0.0000 0.0000 0.0000  6 Sc 2.34

SG: Pm-3m



Verdict on stability: model w comes out on top.



Model w:
# ScMnCl6

Crystalline ScMnCl6 at its relaxed geometry (GGA-PBE, Alexandria via LeMat-Bulk).

Cell: 6.2292 6.4567 6.6029 Å, 63.36 62.00 58.16°
Closest atoms and distances in Å follow each position.
Fractional coordinates of all 8 atoms:
Sc1 0.5000 0.5000 0.5000  6 Cl 2.42-2.57
Mn1 0.0000 0.0000 0.0000  4 Cl 2.31-2.32
Cl1 0.1129 0.4016 0.7423  1 Sc 2.42, 1 Mn 2.64
Cl2 0.7636 0.0953 0.7634  1 Mn 2.31, 1 Sc 2.57
Cl3 0.6119 0.2334 0.2429  1 Mn 2.32, 1 Sc 2.56
Cl4 0.2364 0.9047 0.2366  1 Mn 2.31, 1 Sc 2.57
Cl5 0.8871 0.5984 0.2577  1 Sc 2.42, 1 Mn 2.64
Cl6 0.3881 0.7666 0.7571  1 Mn 2.32, 1 Sc 2.56

SG: P-1



Model x:
# ScMnCl6

Crystalline ScMnCl6 at its relaxed geometry (GGA-PBE, Alexandria via LeMat-Bulk).

Cell: 6.1979 7.7887 7.7887 Å, 66.77 74.62 105.38°
Closest atoms and distances in Å follow each position.
Fractional coordinates of all 8 atoms:
Sc1 0.5000 0.0000 0.0000  6 Cl 2.50
Mn1 0.0000 0.0000 0.0000  6 Cl 2.40
Cl1 0.1529 0.7472 0.0000  1 Mn 2.40, 1 Sc 2.50
Cl2 0.4057 0.2528 0.7472  1 Mn 2.40, 1 Sc 2.50
Cl3 0.8471 0.2528 0.0000  1 Mn 2.40, 1 Sc 2.50
Cl4 0.8471 0.0000 0.7472  1 Mn 2.40, 1 Sc 2.50
Cl5 0.5943 0.7472 0.2528  1 Mn 2.40, 1 Sc 2.50
Cl6 0.1529 0.0000 0.2528  1 Mn 2.40, 1 Sc 2.50

SG: R-3m



Verdict on stability: model x comes out on top.



Model w:
# MnSeCl2

Crystalline MnSeCl2 at its relaxed geometry (GGA-PBE, Alexandria via LeMat-Bulk).

Cell: 3.3485 6.6680 6.2898 Å, 53.35 90.00 90.00°
Closest atoms and distances in Å follow each position.
Fractional coordinates of all 4 atoms:
Mn1 0.0000 0.4272 0.5682  3 Cl 2.18-2.37, 2 Se 2.38
Se1 0.5000 0.6542 0.6105  2 Mn 2.38
Cl1 0.0000 0.0712 0.9612  1 Mn 2.18
Cl2 0.5000 0.3474 0.3601  2 Mn 2.37

SG: Pm



Model x:
# MnSeCl2

Crystalline MnSeCl2 at its relaxed geometry (GGA-PBE, Alexandria via LeMat-Bulk).

Cell: 4.8836 4.8836 4.8836 Å, 60.00 60.00 60.00°
Closest atoms and distances in Å follow each position.
Fractional coordinates of all 4 atoms:
Mn1 0.0000 0.0000 0.0000  8 Cl 2.99
Se1 0.5000 0.5000 0.5000  8 Cl 2.99
Cl1 0.2500 0.2500 0.2500  4 Mn 2.99, 4 Se 2.99
Cl2 0.7500 0.7500 0.7500  4 Se 2.99, 4 Mn 2.99

SG: Fm-3m



Verdict on stability: model w comes out on top.



Model w:
# MnSeCl2

Crystalline MnSeCl2 at its relaxed geometry (GGA-PBE, Alexandria via LeMat-Bulk).

Cell: 3.1773 7.0159 7.0276 Å, 43.78 90.00 90.00°
Closest atoms and distances in Å follow each position.
Fractional coordinates of all 4 atoms:
Mn1 0.5000 0.2500 0.2500  4 Cl 2.35, 2 Se 2.62
Se1 0.5000 0.7500 0.7500  2 Mn 2.62
Cl1 0.0000 0.1168 0.1184  2 Mn 2.35
Cl2 0.0000 0.3832 0.3816  2 Mn 2.35

SG: P2/m



Model x:
# MnSeCl2

Crystalline MnSeCl2 at its relaxed geometry (GGA-PBE, Alexandria via LeMat-Bulk).

Cell: 3.2628 3.2628 8.1996 Å, 90.00 90.00 90.00°
Closest atoms and distances in Å follow each position.
Fractional coordinates of all 4 atoms:
Mn1 0.0000 0.0000 0.5332  4 Se 2.69, 4 Cl 2.80
Se1 0.5000 0.5000 0.7012  4 Mn 2.69, 5 Cl 2.95-2.97
Cl1 0.0000 0.0000 0.9261  4 Se 2.95, 1 Mn 3.22, 4 Cl 3.26
Cl2 0.5000 0.5000 0.3395  4 Mn 2.80, 1 Se 2.97

SG: P4mm



Verdict on stability: model w comes out on top.



Model w:
# MnSeCl2

Crystalline MnSeCl2 at its relaxed geometry (GGA-PBE, Alexandria via LeMat-Bulk).

Cell: 3.0784 3.0784 11.2607 Å, 90.00 90.00 90.00°
Closest atoms and distances in Å follow each position.
Fractional coordinates of all 4 atoms:
Mn1 0.5000 0.5000 0.2500  8 Cl 2.67
Se1 0.5000 0.5000 0.7500  4 Se 3.08
Cl1 0.0000 0.0000 0.1129  4 Mn 2.67
Cl2 0.0000 0.0000 0.3871  4 Mn 2.67

SG: P4/mmm



Model x:
# MnSeCl2

Crystalline MnSeCl2 at its relaxed geometry (GGA-PBE, Alexandria via LeMat-Bulk).

Cell: 3.7926 3.7927 7.9882 Å, 90.00 90.00 90.00°
Closest atoms and distances in Å follow each position.
Fractional coordinates of all 4 atoms:
Mn1 0.0000 0.0000 0.6665  1 Cl 2.18
Se1 0.5000 0.5000 0.5848  1 Cl 2.21
Cl1 0.0000 0.0000 0.9400  1 Mn 2.18
Cl2 0.5000 0.5000 0.3087  1 Se 2.21

SG: P4mm



Model y:
# MnSeCl2

Crystalline MnSeCl2 at its relaxed geometry (GGA-PBE, Alexandria via LeMat-Bulk).

Cell: 6.8988 6.8988 6.1414 Å, 63.55 63.55 25.69°
Closest atoms and distances in Å follow each position.
Fractional coordinates of all 4 atoms:
Mn1 0.7500 0.7500 0.7500  4 Cl 2.33
Se1 0.2500 0.2500 0.2500  2 Se 3.07, 4 Mn 3.43
Cl1 0.1031 0.1031 0.8974  2 Mn 2.33
Cl2 0.3969 0.3969 0.6026  2 Mn 2.33

SG: Immm



Verdict on stability: model x comes out on top.